No. 1
La3Tb5Se12 | PBE-GGA | optimized geometry

Cell lengths 17.150, 17.150, 17.150 Å; angles 90.00, 90.00, 90.00 degrees
Space group Ia-3d (No. 230)
Unique sites:
La1 0.000 0.250 0.125 x24
Tb1 0.000 0.000 0.000 x16
Tb2 0.000 0.250 0.375 x24
Se1 0.022 0.068 0.652 x96

Properties
Energy relative to the elements, uncorrected = -35.91 eV/f.u.
DOS(E_F) = 0.00 states/eV/f.u.

---

No. 2
CaRh3Se | PBE-GGA | optimized geometry

Cell lengths 4.630, 4.630, 4.630 Å; angles 90.00, 90.00, 90.00 degrees
Space group Pm-3m (No. 221)
Unique sites:
Ca1 0.000 0.000 0.000 x1
Rh1 0.000 0.500 0.500 x3
Se1 0.500 0.500 0.500 x1

Properties
Energy relative to the elements, uncorrected = -0.62 eV/f.u.
ΔE to the lowest computed polymorph = 0.00 eV/f.u.
DOS(E_F) = 4.27 states/eV/f.u.

---

No. 3
LiGa4IrRh2 | PBE-GGA | optimized geometry

Cell lengths 4.2940, 4.2940, 21.0939 Å; angles 90.00, 90.00, 120.00 degrees
Space group R-3m (No. 166, hexagonal axes)
Unique sites:
Li1 0.0000 0.0000 0.0000 x3
Ga1 0.0000 0.0000 0.1253 x6
Ga2 0.0000 0.0000 0.3740 x6
Ir1 0.0000 0.0000 0.5000 x3
Rh1 0.0000 0.0000 0.2510 x6

Properties
Energy relative to the elements = -0.55 eV per atom
DOS(E_F) = 2.41 states/eV/f.u.

---

No. 4
BeSnSb2 | PBE-GGA | optimized geometry

Cell lengths 4.4146, 4.4146, 23.5011 Å; angles 90.00, 90.00, 120.00 degrees
Space group R-3m (No. 166, hexagonal axes)
Unique sites:
Be1 0.0000 0.0000 0.0000 x3
Sn1 0.0000 0.0000 0.5000 x3
Sb1 0.0000 0.0000 0.0985 x6

Properties
Energy relative to the elements, uncorrected = 2.10 eV/f.u.
DOS(E_F) = 1.96 states/eV/f.u.

---

No. 5
LaNdDy2P4 | PBE-GGA | optimized geometry

Cell lengths 7.124, 4.117, 7.128 Å; angles 90.00, 109.45, 90.00 degrees
Space group P2/m (No. 10)
Unique sites:
La1 0.000 0.000 0.000 x1
Nd1 0.000 0.500 0.500 x1
Dy1 0.500 0.000 0.500 x1
Dy2 0.500 0.500 0.000 x1
P1 0.261 0.000 0.752 x2
P2 0.262 0.500 0.256 x2

Properties
Energy relative to the elements = -1.57 eV per atom
DOS(E_F) = 0.78 states/eV/f.u.

---

No. 6
Ca3SmU3As8 | PBE-GGA | optimized geometry

Cell lengths 8.2916, 8.2916, 20.4086 Å; angles 90.00, 90.00, 120.00 degrees
Space group R-3m (No. 166, hexagonal axes)
Unique sites:
Ca1 0.0000 0.5000 0.0000 x9
Sm1 0.0000 0.0000 0.5000 x3
U1 0.0000 0.5000 0.5000 x9
As1 0.0000 0.0000 0.2438 x6
As2 0.0180 0.5090 0.7570 x18

Properties
Energy relative to the elements = -0.87 eV per atom
DOS(E_F) = 18.21 states/eV/f.u.

---

No. 7
BaLiHg2Pd | PBE-GGA | optimized geometry

Cell lengths 5.391, 5.391, 4.797 Å; angles 90.00, 90.00, 90.00 degrees
Space group P4/mmm (No. 123)
Unique sites:
Ba1 0.000 0.000 0.000 x1
Li1 0.500 0.500 0.000 x1
Hg1 0.000 0.500 0.500 x2
Pd1 0.500 0.500 0.500 x1

Properties
Energy relative to the elements = -0.36 eV per atom
ΔE to the lowest computed polymorph = 0.00 eV/f.u.
DOS(E_F) = 3.16 states/eV/f.u.

---

No. 8
Pm12Ho2Tl | PBE-GGA | optimized geometry

Cell lengths 6.680, 6.680, 23.747 Å; angles 90.00, 90.00, 90.00 degrees
Space group P4/nbm (No. 125, origin choice 2)
Unique sites:
Pm1 0.005 0.505 0.094 x8
Pm2 0.083 0.583 0.565 x8
Pm3 0.250 0.250 0.200 x4
Pm4 0.250 0.250 0.328 x4
Ho1 0.250 0.750 0.248 x4
Tl1 0.250 0.750 0.000 x2

Properties
Energy relative to the elements = 0.25 eV per atom
DOS(E_F) = 18.98 states/eV/f.u.

---

No. 9
ZrGaAu | PBE-GGA | optimized geometry

Cell lengths 3.3015, 3.3015, 18.9132 Å; angles 90.00, 90.00, 120.00 degrees
Space group R3m (No. 160, hexagonal axes)
Unique sites:
Zr1 0.0000 0.0000 0.0000 x3
Ga1 0.0000 0.0000 0.2195 x3
Au1 0.0000 0.0000 0.7852 x3

Properties
Energy relative to the elements = -0.29 eV per atom
DOS(E_F) = 2.43 states/eV/f.u.

---

No. 10
K12Ag5Hg3 | PBE-GGA | optimized geometry

Cell lengths 20.391, 20.391, 20.391 Å; angles 90.00, 90.00, 90.00 degrees
Space group Ia-3d (No. 230)
Unique sites:
K1 0.022 0.070 0.650 x96
Ag1 0.000 0.000 0.000 x16
Ag2 0.000 0.250 0.375 x24
Hg1 0.000 0.250 0.125 x24

Properties
Energy relative to the elements = 0.09 eV per atom
DOS(E_F) = 19.80 states/eV/f.u.

---

No. 11
TaTeNF2 | PBE-GGA | optimized geometry

Cell lengths 4.171, 4.171, 4.212 Å; angles 90.00, 90.00, 90.00 degrees
Space group P4/mmm (No. 123)
Unique sites:
Ta1 0.000 0.000 0.000 x1
Te1 0.500 0.500 0.500 x1
N1 0.000 0.000 0.500 x1
F1 0.000 0.500 0.000 x2

Properties
Energy relative to the elements, uncorrected = -4.66 eV/f.u.
ΔE to the lowest computed polymorph = 0.00 eV/f.u.
DOS(E_F) = 2.46 states/eV/f.u.

---

No. 12
ErCd4Au2 | PBE-GGA | optimized geometry

Cell lengths 4.634, 19.064, 3.449 Å; angles 90.00, 90.00, 90.00 degrees
Space group Cmmm (No. 65)
Unique sites:
Er1 0.000 0.000 0.000 x2
Cd1 0.000 0.156 0.500 x4
Cd2 0.000 0.300 0.000 x4
Au1 0.000 0.429 0.500 x4

Properties
Energy relative to the elements = -0.33 eV per atom
ΔE to the lowest computed polymorph = 0.00 eV/f.u.
DOS(E_F) = 2.91 states/eV/f.u.

---

For each record above, in turn, the calculated M_tot values are 0.000 0.000 0.000 0.000 0.000 9.190 0.000 0.000 0.001 0.000 0.000 0.000 Bohr magnetons per cell.